Record 1
A plane-wave DFT calculation with PBE was carried out for a geometry-optimized Nd6Sm2In structure.

Structure (POSCAR):
```
Nd6Sm2In
1.0
-3.252 11.119 0.548
2.087 -1.467 5.771
5.398 9.846 -2.905
Nd Sm In
12 4 2
Cartesian
1.185 12.965 4.583
1.246 1.196 0.845
1.048 0.645 4.226
4.464 13.062 -0.027
0.423 8.860 -0.351
2.986 18.302 2.570
3.184 18.853 -0.811
1.511 11.556 1.381
2.722 7.942 2.033
3.048 6.533 -1.169
3.810 10.637 3.766
-0.232 6.436 3.442
1.840 15.183 1.044
4.258 14.247 3.382
-0.025 5.251 0.033
2.392 4.315 2.370
3.751 9.798 -0.596
0.482 9.699 4.011
```

- energy above the most stable polymorph in this dataset (eV/f.u.) = 0.22
- DOS(E_F) (states/eV per cell) = 22.38
- ΔE_f (eV/atom) = -0.04
- symmetry = C2/c (15)
- DFT total energy (eV/cell) = -82.362

---

Record 2
A plane-wave DFT calculation with PBE was carried out for a geometry-optimized NdSm5In5 structure.

Structure (POSCAR):
```
NdSm5In5
1.0
5.883 0.000 0.000
-2.941 8.395 1.767
0.000 -1.383 6.628
In Sm Nd
5 5 1
Cartesian
2.941 5.249 2.952
0.000 1.763 5.444
2.941 0.000 0.000
2.941 4.605 6.039
0.000 2.408 2.356
2.941 2.995 0.636
0.000 4.017 7.759
0.000 5.135 4.534
2.941 1.877 3.861
0.000 -0.691 3.314
0.000 0.000 0.000
```

- DOS(E_F) (states/eV per cell) = 11.52
- ΔE_f (eV/atom) = -0.21
- symmetry = C2/m (12)
- DFT total energy (eV/cell) = -44.354